1.
Here is a relaxed structure of Ga3Pt3Pb from Alexandria. Energies are from PBE.

POSCAR file:
```
Ga3Pt3Pb
1.0
6.892 0.000 0.000
0.000 6.892 0.000
0.000 0.000 6.892
Ga Pt Pb
6 6 2
Cartesian
0.000 1.723 3.446
0.000 5.169 3.446
1.723 3.446 0.000
3.446 0.000 1.723
3.446 0.000 5.169
5.169 3.446 0.000
0.000 3.446 1.723
0.000 3.446 5.169
1.723 0.000 3.446
3.446 1.723 0.000
3.446 5.169 0.000
5.169 0.000 3.446
0.000 0.000 0.000
3.446 3.446 3.446
```

SG	Pm-3n (223)
calculated formation energy	-0.185	eV per atom


2.
Here is a relaxed structure of Ga2PtPb from Alexandria. Energies are from PBE.

POSCAR file:
```
Ga2PtPb
1.0
1.933 1.116 6.848
-1.933 1.116 6.848
0.000 -2.233 6.848
Ga Pt Pb
2 1 1
Cartesian
0.000 0.000 4.663
0.000 0.000 15.881
0.000 0.000 10.272
0.000 0.000 0.000
```

SG	R-3m (166)
calculated formation energy	-0.212	eV per atom


Question: Which of these has the lowest calculated formation energy?
Answer: Ga2PtPb


Question: What is the formula in the first record?
Answer: Ga3Pt3Pb